# Ti3Hg5Au12 PBE optimized geometry
# D(E_F), states/eV/atom: 0.7380
# ΔE_f, eV per atom: 0.214
# Total magnetization, Bohr magnetons per cell: 31.47
data_Ti3Hg5Au12
_space_group_name_H-M_alt 'I a -3 d'
_space_group_IT_number 230
_space_group_name_Hall '-I 4bd 2c 3'
_cell_length_a 15.918
_cell_length_b 15.918
_cell_length_c 15.918
_cell_angle_alpha 90.00
_cell_angle_beta 90.00
_cell_angle_gamma 90.00
loop_
_atom_site_label
_atom_site_type_symbol
_atom_site_fract_x
_atom_site_fract_y
_atom_site_fract_z
Ti1 Ti 0.000 0.250 0.125
Hg1 Hg 0.000 0.000 0.000
Hg2 Hg 0.000 0.250 0.375
Au1 Au 0.007 0.082 0.652

---

# Ti3CuMo2 PBE optimized geometry
# D(E_F), states/eV/atom: 1.3150
# ΔE_f, eV per atom: -0.112
# Total magnetization, Bohr magnetons per cell: 0.00
data_Ti3CuMo2
_space_group_name_H-M_alt 'P 4/m m m'
_space_group_IT_number 123
_space_group_name_Hall '-P 4 2'
_cell_length_a 3.195
_cell_length_b 3.195
_cell_length_c 9.154
_cell_angle_alpha 90.00
_cell_angle_beta 90.00
_cell_angle_gamma 90.00
loop_
_atom_site_label
_atom_site_type_symbol
_atom_site_fract_x
_atom_site_fract_y
_atom_site_fract_z
Ti1 Ti 0.000 0.000 0.000
Ti2 Ti 0.000 0.000 0.330
Cu1 Cu 0.500 0.500 0.500
Mo1 Mo 0.500 0.500 0.174

---

# ZrAl2Cu PBE optimized geometry
# D(E_F), states/eV/atom: 0.4810
# ΔE_f, eV per atom: -0.171
# Total magnetization, Bohr magnetons per cell: 0.00
data_ZrAl2Cu
_space_group_name_H-M_alt 'C 1 m 1'
_space_group_IT_number 8
_cell_length_a 9.089
_cell_length_b 3.117
_cell_length_c 4.991
_cell_angle_alpha 90.00
_cell_angle_beta 104.37
_cell_angle_gamma 90.00
loop_
_space_group_symop_operation_xyz
'x,y,z'
'x,-y,z'
'x+1/2,y+1/2,z'
'x+1/2,-y+1/2,z'
loop_
_atom_site_label
_atom_site_type_symbol
_atom_site_fract_x
_atom_site_fract_y
_atom_site_fract_z
Zr1 Zr 0.000 0.000 0.000
Al1 Al 0.237 0.000 0.701
Al2 Al 0.488 0.000 0.491
Cu1 Cu 0.256 0.500 0.289

---

# CsIn2Sn6 PBE optimized geometry
# D(E_F), states/eV/atom: 0.5581
# ΔE_f, eV per atom: -0.013
# Total magnetization, Bohr magnetons per cell: 0.00
data_CsIn2Sn6
_space_group_name_H-M_alt 'P 4/m m m'
_space_group_IT_number 123
_space_group_name_Hall '-P 4 2'
_cell_length_a 5.044
_cell_length_b 5.044
_cell_length_c 11.205
_cell_angle_alpha 90.00
_cell_angle_beta 90.00
_cell_angle_gamma 90.00
loop_
_atom_site_label
_atom_site_type_symbol
_atom_site_fract_x
_atom_site_fract_y
_atom_site_fract_z
Cs1 Cs 0.000 0.000 0.000
In1 In 0.500 0.500 0.140
Sn1 Sn 0.000 0.000 0.500
Sn2 Sn 0.000 0.500 0.305
Sn3 Sn 0.500 0.500 0.500

---

# Ce3DyEr2S6 PBE optimized geometry
# D(E_F), states/eV/atom: 1.3219
# VASP energy, hartree per atom: -0.2466
# Total magnetization, Bohr magnetons per cell: 4.95
data_Ce3DyEr2S6
_space_group_name_H-M_alt 'C 1 2/m 1'
_space_group_IT_number 12
_cell_length_a 6.798
_cell_length_b 11.784
_cell_length_c 6.926
_cell_angle_alpha 90.00
_cell_angle_beta 109.14
_cell_angle_gamma 90.00
loop_
_space_group_symop_operation_xyz
'x,y,z'
'-x,-y,-z'
'-x,y,-z'
'x,-y,z'
'x+1/2,y+1/2,z'
'-x+1/2,-y+1/2,-z'
'-x+1/2,y+1/2,-z'
'x+1/2,-y+1/2,z'
loop_
_atom_site_label
_atom_site_type_symbol
_atom_site_fract_x
_atom_site_fract_y
_atom_site_fract_z
Ce1 Ce 0.000 0.000 0.000
Ce2 Ce 0.000 0.334 0.000
Dy1 Dy 0.000 0.500 0.500
Er1 Er 0.000 0.167 0.500
S1 S 0.243 0.000 0.735
S2 S 0.246 0.332 0.736

---

# TeIrI2O PBE optimized geometry
# Offset from the most stable computed form, meV/atom: 863
# D(E_F), states/eV/atom: 2.3853
# Total magnetization, Bohr magnetons per cell: 0.00
data_TeIrI2O
_space_group_name_H-M_alt 'P 4/m m m'
_space_group_IT_number 123
_space_group_name_Hall '-P 4 2'
_cell_length_a 5.491
_cell_length_b 5.491
_cell_length_c 5.034
_cell_angle_alpha 90.00
_cell_angle_beta 90.00
_cell_angle_gamma 90.00
loop_
_atom_site_label
_atom_site_type_symbol
_atom_site_fract_x
_atom_site_fract_y
_atom_site_fract_z
Te1 Te 0.000 0.000 0.000
Ir1 Ir 0.000 0.000 0.500
I1 I 0.000 0.500 0.500
O1 O 0.500 0.500 0.000